No. 1
Compound: Tb6Sb3Ru
Source: Alexandria via LeMat-Bulk
Functional: PBE
Structure: optimized geometry

Calculated values
ρ ... 7.711 g cm⁻³
Electronic total energy ... -0.202 hartree per atom
ΔE_f (raw) ... -559 meV per atom

Unit cell a=9.146 b=9.146 c=7.537 alpha=90.00 beta=90.00 gamma=104.06
Element x y z (fractional)
Tb (0.006, 0.994, 0.500)
Tb (0.097, 0.596, 0.426)
Tb (0.245, 0.755, 0.951)
Tb (0.294, 0.367, 0.921)
Tb (0.367, 0.294, 0.421)
Tb (0.404, 0.903, 0.426)
Tb (0.596, 0.097, 0.926)
Tb (0.633, 0.706, 0.921)
Tb (0.706, 0.633, 0.421)
Tb (0.755, 0.245, 0.451)
Tb (0.903, 0.404, 0.926)
Tb (0.994, 0.006, 0.000)
Sb (0.070, 0.293, 0.238)
Sb (0.293, 0.070, 0.738)
Sb (0.398, 0.602, 0.622)
Sb (0.602, 0.398, 0.122)
Sb (0.707, 0.930, 0.238)
Sb (0.930, 0.707, 0.738)
Ru (0.139, 0.861, 0.241)
Ru (0.861, 0.139, 0.741)

No. 2
Compound: Tb12Sb6Ru
Source: Alexandria via LeMat-Bulk
Functional: PBE
Structure: optimized geometry

Calculated values
ρ ... 7.580 g cm⁻³
Electronic total energy ... -0.197 hartree per atom
ΔE_f (raw) ... -651 meV per atom

Unit cell a=8.571 b=8.571 c=8.571 alpha=99.55 beta=99.55 gamma=99.55
Element x y z (fractional)
Tb (0.010, 0.687, 0.941)
Tb (0.059, 0.990, 0.313)
Tb (0.196, 0.417, 0.549)
Tb (0.313, 0.059, 0.990)
Tb (0.417, 0.549, 0.196)
Tb (0.451, 0.804, 0.583)
Tb (0.549, 0.196, 0.417)
Tb (0.583, 0.451, 0.804)
Tb (0.687, 0.941, 0.010)
Tb (0.804, 0.583, 0.451)
Tb (0.941, 0.010, 0.687)
Tb (0.990, 0.313, 0.059)
Sb (0.121, 0.645, 0.314)
Sb (0.314, 0.121, 0.645)
Sb (0.355, 0.686, 0.879)
Sb (0.645, 0.314, 0.121)
Sb (0.686, 0.879, 0.355)
Sb (0.879, 0.355, 0.686)
Ru (0.000, 0.000, 0.000)

No. 3
Compound: Tb12SbRu6
Source: Alexandria via LeMat-Bulk
Functional: PBE
Structure: optimized geometry

Calculated values
ρ ... 9.063 g cm⁻³
Electronic total energy ... -0.236 hartree per atom
ΔE_f (raw) ... -343 meV per atom

Unit cell a=8.560 b=8.560 c=8.560 alpha=109.47 beta=109.47 gamma=109.47
Element x y z (fractional)
Tb (0.100, 0.297, 0.804)
Tb (0.196, 0.493, 0.297)
Tb (0.196, 0.900, 0.703)
Tb (0.297, 0.196, 0.493)
Tb (0.297, 0.804, 0.100)
Tb (0.493, 0.297, 0.196)
Tb (0.507, 0.703, 0.804)
Tb (0.703, 0.196, 0.900)
Tb (0.703, 0.804, 0.507)
Tb (0.804, 0.100, 0.297)
Tb (0.804, 0.507, 0.703)
Tb (0.900, 0.703, 0.196)
Sb (0.000, 0.000, 0.000)
Ru (0.123, 0.500, 0.623)
Ru (0.377, 0.877, 0.500)
Ru (0.500, 0.377, 0.877)
Ru (0.500, 0.623, 0.123)
Ru (0.623, 0.123, 0.500)
Ru (0.877, 0.500, 0.377)

No. 4
Compound: TbSbRu
Source: Alexandria via LeMat-Bulk
Functional: PBE
Structure: optimized geometry

Calculated values
ρ ... 9.733 g cm⁻³
Electronic total energy ... -0.240 hartree per atom
ΔE_f (raw) ... -525 meV per atom

Unit cell a=4.601 b=4.601 c=3.553 alpha=90.00 beta=90.00 gamma=120.00
Element x y z (fractional)
Tb (0.000, 0.000, 0.000)
Sb (0.333, 0.667, 0.500)
Ru (0.667, 0.333, 0.500)

No. 5
Compound: TbSb12Ru4
Source: Alexandria via LeMat-Bulk
Functional: PBE
Structure: optimized geometry

Calculated values
ρ ... 8.158 g cm⁻³
Electronic total energy ... -0.208 hartree per atom
ΔE_f (raw) ... -291 meV per atom

Unit cell a=8.119 b=8.119 c=8.119 alpha=109.47 beta=109.47 gamma=109.47
Element x y z (fractional)
Tb (0.000, 0.000, 0.000)
Sb (0.157, 0.339, 0.496)
Sb (0.157, 0.661, 0.819)
Sb (0.181, 0.843, 0.339)
Sb (0.339, 0.181, 0.843)
Sb (0.339, 0.496, 0.157)
Sb (0.496, 0.157, 0.339)
Sb (0.504, 0.843, 0.661)
Sb (0.661, 0.504, 0.843)
Sb (0.661, 0.819, 0.157)
Sb (0.819, 0.157, 0.661)
Sb (0.843, 0.339, 0.181)
Sb (0.843, 0.661, 0.504)
Ru (0.000, 0.000, 0.500)
Ru (0.000, 0.500, 0.000)
Ru (0.500, 0.000, 0.000)
Ru (0.500, 0.500, 0.500)

No. 6
Compound: TcSbRu
Source: Alexandria via LeMat-Bulk
Functional: PBE
Structure: optimized geometry

Calculated values
ρ ... 10.825 g cm⁻³
Electronic total energy ... -0.281 hartree per atom
Relative energy among the computed polymorphs ... 50 meV/atom
ΔE_f (raw) ... 275 meV per atom

Unit cell a=4.803 b=4.803 c=4.803 alpha=143.63 beta=130.72 gamma=62.77
Element x y z (fractional)
Tc (0.000, 0.000, 0.000)
Sb (0.326, 0.326, 0.000)
Ru (0.651, 0.651, 0.000)

No. 7
Compound: Tc2SbRu
Source: Alexandria via LeMat-Bulk
Functional: PBE
Structure: optimized geometry

Calculated values
ρ ... 10.754 g cm⁻³
Electronic total energy ... -0.303 hartree per atom
ΔE_f (raw) ... 289 meV per atom

Unit cell a=2.884 b=4.091 c=5.538 alpha=90.00 beta=98.14 gamma=90.00
Element x y z (fractional)
Tc (0.064, 0.000, 0.225)
Tc (0.936, 0.000, 0.775)
Sb (0.500, 0.500, 0.500)
Ru (0.500, 0.500, 0.000)

No. 8
Compound: Tc2SbRu
Source: Alexandria via LeMat-Bulk
Functional: PBE
Structure: optimized geometry

Calculated values
ρ ... 10.793 g cm⁻³
Electronic total energy ... -0.302 hartree per atom
ΔE_f (raw) ... 322 meV per atom

Unit cell a=8.798 b=8.798 c=8.798 alpha=19.21 beta=19.21 gamma=19.21
Element x y z (fractional)
Tc (0.000, 0.000, 0.000)
Tc (0.253, 0.253, 0.253)
Sb (0.499, 0.499, 0.499)
Ru (0.748, 0.748, 0.748)

No. 9
Compound: TcSb2Ru
Source: Alexandria via LeMat-Bulk
Functional: PBE
Structure: optimized geometry

Calculated values
ρ ... 8.439 g cm⁻³
Electronic total energy ... -0.245 hartree per atom
Relative energy among the computed polymorphs ... 216 meV/atom
ΔE_f (raw) ... 307 meV per atom

Unit cell a=10.717 b=10.717 c=10.717 alpha=16.55 beta=16.55 gamma=16.55
Element x y z (fractional)
Tc (0.000, 0.000, 0.000)
Sb (0.536, 0.536, 0.536)
Sb (0.733, 0.733, 0.733)
Ru (0.267, 0.267, 0.267)

No. 10
Compound: TcSb2Ru
Source: Alexandria via LeMat-Bulk
Functional: PBE
Structure: optimized geometry

Calculated values
ρ ... 9.901 g cm⁻³
Electronic total energy ... -0.248 hartree per atom
Relative energy among the computed polymorphs ... 141 meV/atom
ΔE_f (raw) ... 232 meV per atom

Unit cell a=3.615 b=3.615 c=5.679 alpha=90.00 beta=90.00 gamma=90.00
Element x y z (fractional)
Tc (0.000, 0.000, 0.000)
Sb (0.000, 0.000, 0.494)
Sb (0.500, 0.500, 0.842)
Ru (0.500, 0.500, 0.350)

No. 11
Compound: Tc2SbRu
Source: Alexandria via LeMat-Bulk
Functional: PBE
Structure: optimized geometry

Calculated values
ρ ... 10.932 g cm⁻³
Electronic total energy ... -0.306 hartree per atom
ΔE_f (raw) ... 207 meV per atom

Unit cell a=4.886 b=4.886 c=4.699 alpha=98.86 beta=98.86 gamma=35.07
Element x y z (fractional)
Tc (0.240, 0.240, 0.227)
Tc (0.760, 0.760, 0.773)
Sb (0.000, 0.000, 0.500)
Ru (0.500, 0.500, 0.000)

No. 12
Compound: Tc2SbRu
Source: Alexandria via LeMat-Bulk
Functional: PBE
Structure: optimized geometry

Calculated values
ρ ... 10.967 g cm⁻³
Electronic total energy ... -0.304 hartree per atom
ΔE_f (raw) ... 266 meV per atom

Unit cell a=5.302 b=5.302 c=5.302 alpha=145.89 beta=129.94 gamma=61.97
Element x y z (fractional)
Tc (0.233, 0.233, 0.000)
Tc (0.767, 0.767, 0.000)
Sb (0.000, 0.500, 0.500)
Ru (0.500, 0.000, 0.500)